DFT (PBE) results for a geometry-optimized TbTm6Sc2 structure.

a b c (Å): 3.493 3.493 25.120
angles (deg): 90.00 90.00 120.00
Element x y z (fractional)
Tb (0.000, 0.000, 0.000)
Tm (0.000, 0.000, 0.225)
Tm (0.000, 0.000, 0.433)
Tm (0.000, 0.000, 0.567)
Tm (0.000, 0.000, 0.775)
Tm (0.333, 0.667, 0.113)
Tm (0.333, 0.667, 0.887)
Sc (0.333, 0.667, 0.329)
Sc (0.333, 0.667, 0.671)

The energy above the most stable polymorph in this dataset is 0 meV per atom. For the formation energy, the calculation gives 0.053 eV per atom. As for the crystal system: hexagonal. The calculation puts the volume at 265.50 Å³/cell.